Entry 1:
A relaxed AlCrPt crystal, computed with PBE.

Cell: 2.778 2.778 6.366 Å, 90.00 90.00 120.00°
Element x y z (fractional)
Al 0.000 0.000 0.004
Pt 0.333 0.667 0.664
Cr 0.667 0.333 0.331

Space-group type: P3m1 (156)
Energy relative to the elements, eV/atom: -0.190


Entry 2:
A relaxed CePdS3 crystal, computed with PBE.

Cell: 5.868 7.487 9.422 Å, 100.88 90.00 90.00°
Element x y z (fractional)
S 0.912 0.804 0.931
S 0.722 0.422 0.884
S 0.082 0.944 0.331
S 0.588 0.804 0.431
S 0.278 0.578 0.116
S 0.088 0.196 0.069
S 0.918 0.056 0.669
S 0.222 0.578 0.616
S 0.418 0.944 0.831
S 0.778 0.422 0.384
S 0.412 0.196 0.569
S 0.582 0.056 0.169
Ce 0.763 0.673 0.164
Ce 0.737 0.673 0.664
Ce 0.237 0.327 0.836
Ce 0.263 0.327 0.336
Pd 0.241 0.899 0.081
Pd 0.259 0.899 0.581
Pd 0.759 0.101 0.919
Pd 0.741 0.101 0.419

Space-group type: P2_1/c (14)
E above lowest polymorph, meV/atom: 21.6


Entry 3:
A relaxed ZrGa2Pt crystal, computed with PBE.

Cell: 5.572 6.485 7.804 Å, 90.00 90.00 90.00°
Element x y z (fractional)
Pt 0.852 0.250 0.926
Pt 0.352 0.750 0.574
Pt 0.148 0.750 0.074
Pt 0.648 0.250 0.426
Ga 0.406 0.956 0.294
Ga 0.406 0.544 0.294
Ga 0.594 0.456 0.706
Ga 0.906 0.044 0.206
Ga 0.094 0.956 0.794
Ga 0.594 0.044 0.706
Ga 0.094 0.544 0.794
Ga 0.906 0.456 0.206
Zr 0.360 0.250 0.024
Zr 0.860 0.750 0.476
Zr 0.640 0.750 0.976
Zr 0.140 0.250 0.524

Space-group type: Pnma (62)
Energy relative to the elements, eV/atom: -0.683


Entry 4:
A relaxed OsPt3I crystal, computed with PBE.

Cell: 4.890 4.890 4.890 Å, 90.00 90.00 90.00°
Element x y z (fractional)
Pt 0.500 0.000 0.000
Pt 0.000 0.500 0.000
Pt 0.000 0.000 0.500
Os 0.500 0.500 0.500
I 0.000 0.000 0.000

Space-group type: Pm-3m (221)
E above lowest polymorph, meV/atom: 729.0


Calculated uncorrected energy in order - -6.659; -5.758; -5.844; -4.150 eV per atom